Density functional theory data (PBE) for crystalline Th2Cd2Ag3 at its relaxed geometry.

Properties
Formation energy from the elements   -0.05 eV/atom
Symmetry   Cmcm (63)
Raw total energy   -3.657 eV per atom
DOS at the Fermi energy   0.86 states/eV per atom

Lattice parameters (Å, degrees): 10.486 10.486 8.504 90.00 90.00 158.54
Fractional positions:
Th1 0.061 0.939 0.750
Th2 0.149 0.851 0.250
Th3 0.851 0.149 0.750
Th4 0.939 0.061 0.250
Cd1 0.315 0.685 0.052
Cd2 0.315 0.685 0.448
Cd3 0.685 0.315 0.552
Cd4 0.685 0.315 0.948
Ag1 0.235 0.765 0.750
Ag2 0.444 0.556 0.580
Ag3 0.444 0.556 0.920
Ag4 0.556 0.444 0.080
Ag5 0.556 0.444 0.420
Ag6 0.765 0.235 0.250

***

Density functional theory data (PBE) for crystalline ThCd4Ag4 at its relaxed geometry.

Properties
Formation energy from the elements   0.03 eV/atom
Symmetry   I4/m (87)
Raw total energy   -2.468 eV per atom
DOS at the Fermi energy   0.65 states/eV per atom

Lattice parameters (Å, degrees): 6.894 6.894 6.894 97.23 97.23 138.44
Fractional positions:
Th1 0.000 0.000 0.000
Cd1 0.088 0.636 0.724
Cd2 0.364 0.088 0.451
Cd3 0.636 0.912 0.549
Cd4 0.912 0.364 0.276
Ag1 0.298 0.389 0.687
Ag2 0.389 0.702 0.091
Ag3 0.611 0.298 0.909
Ag4 0.702 0.611 0.313

***

Density functional theory data (PBE) for crystalline ThCd2Ag6 at its relaxed geometry.

Properties
Formation energy from the elements   0.02 eV/atom
Symmetry   Immm (71)
Raw total energy   -2.907 eV per atom
DOS at the Fermi energy   0.39 states/eV per atom

Lattice parameters (Å, degrees): 8.473 8.473 8.473 158.57 121.17 63.36
Fractional positions:
Th1 0.000 0.000 0.000
Cd1 0.349 0.849 0.500
Cd2 0.651 0.151 0.500
Ag1 0.002 0.325 0.676
Ag2 0.334 0.500 0.834
Ag3 0.351 0.675 0.676
Ag4 0.649 0.325 0.324
Ag5 0.666 0.500 0.166
Ag6 0.998 0.675 0.324

***

Density functional theory data (PBE) for crystalline ThCd6Ag6 at its relaxed geometry.

Properties
Formation energy from the elements   -0.07 eV/atom
Symmetry   Immm (71)
Raw total energy   -2.382 eV per atom
DOS at the Fermi energy   0.56 states/eV per atom

Lattice parameters (Å, degrees): 7.531 7.531 7.531 136.49 98.33 97.47
Fractional positions:
Th1 0.000 0.000 0.000
Cd1 0.199 0.699 0.500
Cd2 0.344 0.000 0.344
Cd3 0.348 0.348 0.000
Cd4 0.652 0.652 0.000
Cd5 0.656 0.000 0.656
Cd6 0.801 0.301 0.500
Ag1 0.000 0.000 0.500
Ag2 0.000 0.500 0.000
Ag3 0.217 0.500 0.717
Ag4 0.500 0.000 0.000
Ag5 0.500 0.500 0.500
Ag6 0.783 0.500 0.283

***

Density functional theory data (PBE) for crystalline ThTlCdAg at its relaxed geometry.

Properties
Formation energy from the elements   -0.08 eV/atom
Symmetry   F-43m (216)
Raw total energy   -3.465 eV per atom
DOS at the Fermi energy   0.39 states/eV per atom

Lattice parameters (Å, degrees): 5.207 5.207 5.207 60.00 60.00 60.00
Fractional positions:
Th1 0.000 0.000 0.000
Tl1 0.750 0.750 0.750
Cd1 0.500 0.500 0.500
Ag1 0.250 0.250 0.250

***

Density functional theory data (PBE) for crystalline TmThCdAg at its relaxed geometry.

Properties
Formation energy from the elements   -0.14 eV/atom
Symmetry   F-43m (216)
Raw total energy   -4.050 eV per atom
DOS at the Fermi energy   0.87 states/eV per atom

Lattice parameters (Å, degrees): 5.281 5.281 5.281 60.00 60.00 60.00
Fractional positions:
Tm1 0.000 0.000 0.000
Th1 0.500 0.500 0.500
Cd1 0.250 0.250 0.250
Ag1 0.750 0.750 0.750